VASP calculation (PBE) on a relaxed structure of PrPu2Sb2Pd2.

```
data_PrPu2Sb2Pd2
_chemical_formula_sum 'Pr1 Pu2 Sb2 Pd2'
_cell_length_a 4.691
_cell_length_b 4.691
_cell_length_c 9.275
_cell_angle_alpha 75.35
_cell_angle_beta 75.35
_cell_angle_gamma 60.00
_space_group_name_H-M_alt 'P 1'
_space_group_IT_number 1
loop_
_space_group_symop_operation_xyz
'x,y,z'
loop_
_atom_site_label
_atom_site_type_symbol
_atom_site_fract_x
_atom_site_fract_y
_atom_site_fract_z
Pr1 Pr 0.000 0.000 0.000
Pu1 Pu 0.143 0.143 0.570
Pu2 Pu 0.857 0.857 0.430
Sb1 Sb 0.736 0.736 0.791
Sb2 Sb 0.264 0.264 0.209
Pd1 Pd 0.563 0.563 0.312
Pd2 Pd 0.437 0.437 0.688
```

Results
space-group type = R-3m, No. 166
uncorrected formation energy = -5.07 eV/f.u.
volume = 169.0 Å³/cell


VASP calculation (PBE) on a relaxed structure of Y4Tm6Sc.

```
data_Y4Tm6Sc
_chemical_formula_sum 'Y4 Tm6 Sc1'
_cell_length_a 6.455
_cell_length_b 6.455
_cell_length_c 9.603
_cell_angle_alpha 109.64
_cell_angle_beta 109.64
_cell_angle_gamma 90.00
_space_group_name_H-M_alt 'P 1'
_space_group_IT_number 1
loop_
_space_group_symop_operation_xyz
'x,y,z'
loop_
_atom_site_label
_atom_site_type_symbol
_atom_site_fract_x
_atom_site_fract_y
_atom_site_fract_z
Y1 Y 0.044 0.684 0.728
Y2 Y 0.956 0.956 0.272
Y3 Y 0.684 0.044 0.728
Y4 Y 0.316 0.316 0.272
Tm1 Tm 0.850 0.484 0.334
Tm2 Tm 0.484 0.850 0.334
Tm3 Tm 0.516 0.516 0.666
Tm4 Tm 0.000 0.500 0.000
Tm5 Tm 0.150 0.150 0.666
Tm6 Tm 0.500 0.000 0.000
Sc1 Sc 0.500 0.500 0.000
```

Results
space-group type = I-42m, No. 121
energy relative to the lowest polymorph listed for this composition = 3.617 kcal/mol of atoms
energy of formation = 29.0 kJ per mole of atoms
volume = 352.0 Å³/cell


VASP calculation (PBE) on a relaxed structure of Pm2ZnCu2Pt5.

```
data_Pm2ZnCu2Pt5
_chemical_formula_sum 'Pm4 Zn2 Cu4 Pt10'
_cell_length_a 3.912
_cell_length_b 9.456
_cell_length_c 9.456
_cell_angle_alpha 90.00
_cell_angle_beta 90.00
_cell_angle_gamma 90.00
_space_group_name_H-M_alt 'P 1'
_space_group_IT_number 1
loop_
_space_group_symop_operation_xyz
'x,y,z'
loop_
_atom_site_label
_atom_site_type_symbol
_atom_site_fract_x
_atom_site_fract_y
_atom_site_fract_z
Pm1 Pm 0.000 0.677 0.177
Pm2 Pm 0.000 0.323 0.823
Pm3 Pm 0.000 0.177 0.323
Pm4 Pm 0.000 0.823 0.677
Zn1 Zn 0.000 0.000 0.000
Zn2 Zn 0.000 0.500 0.500
Cu1 Cu 0.000 0.122 0.622
Cu2 Cu 0.000 0.878 0.378
Cu3 Cu 0.000 0.622 0.878
Cu4 Cu 0.000 0.378 0.122
Pt1 Pt 0.500 0.204 0.066
Pt2 Pt 0.500 0.796 0.934
Pt3 Pt 0.500 0.066 0.796
Pt4 Pt 0.500 0.704 0.434
Pt5 Pt 0.500 0.934 0.204
Pt6 Pt 0.500 0.296 0.566
Pt7 Pt 0.500 0.566 0.704
Pt8 Pt 0.500 0.434 0.296
Pt9 Pt 0.500 0.500 0.000
Pt10 Pt 0.500 0.000 0.500
```

Results
space-group type = P4/mbm, No. 127
energy of formation = -71.5 kJ per mole of atoms
volume = 349.8 Å³/cell


VASP calculation (PBE) on a relaxed structure of LiCaAcSn.

```
data_LiCaAcSn
_chemical_formula_sum 'Li1 Ca1 Ac1 Sn1'
_cell_length_a 5.592
_cell_length_b 5.592
_cell_length_c 5.592
_cell_angle_alpha 60.00
_cell_angle_beta 60.00
_cell_angle_gamma 60.00
_space_group_name_H-M_alt 'P 1'
_space_group_IT_number 1
loop_
_space_group_symop_operation_xyz
'x,y,z'
loop_
_atom_site_label
_atom_site_type_symbol
_atom_site_fract_x
_atom_site_fract_y
_atom_site_fract_z
Ac1 Ac 0.000 0.000 0.000
Ca1 Ca 0.500 0.500 0.500
Sn1 Sn 0.250 0.250 0.250
Li1 Li 0.750 0.750 0.750
```

Results
space-group type = F-43m, No. 216
energy of formation = -38.9 kJ per mole of atoms
volume = 123.7 Å³/cell


VASP calculation (PBE) on a relaxed structure of Pu2Al4AgPt3.

```
data_Pu2Al4AgPt3
_chemical_formula_sum 'Pu2 Al4 Ag1 Pt3'
_cell_length_a 4.230
_cell_length_b 4.230
_cell_length_c 10.717
_cell_angle_alpha 90.00
_cell_angle_beta 90.00
_cell_angle_gamma 90.00
_space_group_name_H-M_alt 'P 1'
_space_group_IT_number 1
loop_
_space_group_symop_operation_xyz
'x,y,z'
loop_
_atom_site_label
_atom_site_type_symbol
_atom_site_fract_x
_atom_site_fract_y
_atom_site_fract_z
Pu1 Pu 0.500 0.000 0.244
Pu2 Pu 0.000 0.500 0.756
Al1 Al 0.500 0.500 0.000
Al2 Al 0.000 0.000 0.000
Al3 Al 0.500 0.000 0.634
Al4 Al 0.000 0.500 0.366
Ag1 Ag 0.500 0.500 0.500
Pt1 Pt 0.000 0.000 0.500
Pt2 Pt 0.500 0.000 0.867
Pt3 Pt 0.000 0.500 0.133
```

Results
space-group type = P-4m2, No. 115
energy of formation = -70.6 kJ per mole of atoms
volume = 191.8 Å³/cell


VASP calculation (PBE) on a relaxed structure of CaInPb.

```
data_CaInPb
_chemical_formula_sum 'Ca1 In1 Pb1'
_cell_length_a 5.217
_cell_length_b 5.217
_cell_length_c 5.217
_cell_angle_alpha 60.00
_cell_angle_beta 60.00
_cell_angle_gamma 60.00
_space_group_name_H-M_alt 'P 1'
_space_group_IT_number 1
loop_
_space_group_symop_operation_xyz
'x,y,z'
loop_
_atom_site_label
_atom_site_type_symbol
_atom_site_fract_x
_atom_site_fract_y
_atom_site_fract_z
Pb1 Pb 0.000 0.000 0.000
Ca1 Ca 0.500 0.500 0.500
In1 In 0.250 0.250 0.250
```

Results
space-group type = F-43m, No. 216
energy of formation = -20.4 kJ per mole of atoms
volume = 100.4 Å³/cell


VASP calculation (PBE) on a relaxed structure of TbCeCdIn.

```
data_TbCeCdIn
_chemical_formula_sum 'Tb1 Ce1 Cd1 In1'
_cell_length_a 5.390
_cell_length_b 5.390
_cell_length_c 5.390
_cell_angle_alpha 60.00
_cell_angle_beta 60.00
_cell_angle_gamma 60.00
_space_group_name_H-M_alt 'P 1'
_space_group_IT_number 1
loop_
_space_group_symop_operation_xyz
'x,y,z'
loop_
_atom_site_label
_atom_site_type_symbol
_atom_site_fract_x
_atom_site_fract_y
_atom_site_fract_z
Cd1 Cd 0.750 0.750 0.750
Tb1 Tb 0.000 0.000 0.000
Ce1 Ce 0.500 0.500 0.500
In1 In 0.250 0.250 0.250
```

Results
space-group type = F-43m, No. 216
energy of formation = -30.3 kJ per mole of atoms
volume = 110.8 Å³/cell


VASP calculation (PBE) on a relaxed structure of LaTcHPt2.

```
data_LaTcHPt2
_chemical_formula_sum 'La1 Tc1 H1 Pt2'
_cell_length_a 4.084
_cell_length_b 4.627
_cell_length_c 4.084
_cell_angle_alpha 90.00
_cell_angle_beta 90.00
_cell_angle_gamma 90.00
_space_group_name_H-M_alt 'P 1'
_space_group_IT_number 1
loop_
_space_group_symop_operation_xyz
'x,y,z'
loop_
_atom_site_label
_atom_site_type_symbol
_atom_site_fract_x
_atom_site_fract_y
_atom_site_fract_z
H1 H 0.000 0.000 0.000
Tc1 Tc 0.500 0.500 0.500
Pt1 Pt 0.000 0.000 0.500
Pt2 Pt 0.500 0.000 0.000
La1 La 0.000 0.500 0.000
```

Results
space-group type = P4/mmm, No. 123
volume = 77.2 Å³/cell


| no. | Fermi-level density of states (states/eV per cell) | final energy (eV/cell) |
| --- | --- | --- |
| 1 | 13.288 | -57.142 |
| 2 | 13.026 | -55.715 |
| 3 | 7.593 | -113.157 |
| 4 | 2.787 | -13.641 |
| 5 | 28.896 | -71.929 |
| 6 | 2.738 | -9.084 |
| 7 | 10.585 | -15.476 |
| 8 | 4.855 | -31.285 |